Density functional theory data (PBE) for a relaxed structure of Rb5La2F12.

Raw formation energy, kJ/mol of formula units: -5805
Crystal system: monoclinic
M_tot, μB per cell: 1.41

a b c (Å): 8.3582 8.3582 6.9173
angles (deg): 96.96 96.96 61.09
Last column: nearest neighbours and their distance in Å.
Atoms (fractional coordinates):
Rb1 0.0000 0.0000 0.0000  6 F 2.78-2.80
Rb2 0.2341 0.2341 0.4686  5 F 2.80-2.84
Rb3 0.3632 0.3632 0.9832  6 F 2.78-3.10
Rb4 0.6368 0.6368 0.0168  6 F 2.78-3.10
Rb5 0.7659 0.7659 0.5314  5 F 2.80-2.84
La1 0.2563 0.7437 0.5000  8 F 2.37-2.51
La2 0.7437 0.2563 0.5000  8 F 2.37-2.51
F1 0.0669 0.0669 0.6383  2 La 2.51, 3 F 2.52-2.81, 1 Rb 2.80
F2 0.1060 0.6928 0.7381  1 La 2.38
F3 0.1561 0.5535 0.2991  1 La 2.37
F4 0.3072 0.8940 0.2619  1 La 2.38
F5 0.4465 0.8439 0.7009  1 La 2.37
F6 0.4762 0.4762 0.6839  2 La 2.48, 3 F 2.73-2.77
F7 0.5238 0.5238 0.3161  2 La 2.48, 3 F 2.73-2.77
F8 0.5535 0.1561 0.2991  1 La 2.37
F9 0.6928 0.1060 0.7381  1 La 2.38
F10 0.8439 0.4465 0.7009  1 La 2.37
F11 0.8940 0.3072 0.2619  1 La 2.38
F12 0.9331 0.9331 0.3617  2 La 2.51, 3 F 2.52-2.81, 1 Rb 2.80



Density functional theory data (PBE) for a relaxed structure of AlTc2O8.

Raw formation energy, kJ/mol of formula units: -1616
Crystal system: monoclinic
M_tot, μB per cell: 0.00

a b c (Å): 6.3742 6.3742 4.9982
angles (deg): 94.10 94.10 90.53
Last column: nearest neighbours and their distance in Å.
Atoms (fractional coordinates):
Al1 0.0000 0.0000 0.0000  6 O 1.92-1.97
Tc1 0.2116 0.2116 0.6377  4 O 1.70-1.80
Tc2 0.7884 0.7884 0.3623  4 O 1.70-1.80
O1 0.0270 0.7440 0.1963  1 Tc 1.80, 1 Al 1.97
O2 0.1609 0.1609 0.2834  1 Tc 1.78, 1 Al 1.92
O3 0.2560 0.9730 0.8037  1 Tc 1.80, 1 Al 1.97
O4 0.3994 0.3994 0.7279  1 Tc 1.70
O5 0.6006 0.6006 0.2721  1 Tc 1.70
O6 0.7440 0.0270 0.1963  1 Tc 1.80, 1 Al 1.97
O7 0.8391 0.8391 0.7166  1 Tc 1.78, 1 Al 1.92
O8 0.9730 0.2560 0.8037  1 Tc 1.80, 1 Al 1.97



Density functional theory data (PBE) for a relaxed structure of Ce5Pu.

DFT total energy, eV per cell: -43.895
Crystal system: orthorhombic
M_tot, μB per cell: 4.62

a b c (Å): 7.3538 7.3538 4.7102
angles (deg): 90.00 90.00 142.87
Last column: nearest neighbours and their distance in Å.
Atoms (fractional coordinates):
Ce1 0.0000 0.0000 0.0000  8 Ce 3.28-3.29, 4 Pu 3.32
Ce2 0.1651 0.8349 0.5000  2 Pu 3.28, 10 Ce 3.29-3.34
Ce3 0.3351 0.6649 0.0000  10 Ce 3.28-3.34, 2 Pu 3.29
Ce4 0.6649 0.3351 0.0000  10 Ce 3.28-3.34, 2 Pu 3.29
Ce5 0.8349 0.1651 0.5000  2 Pu 3.28, 10 Ce 3.29-3.34
Pu1 0.5000 0.5000 0.5000  12 Ce 3.28-3.32